# CaMn2FeO4 | Alexandria via LeMat-Bulk | GGA+U | optimized geometry
data_CaMn2FeO4
_cell_length_a 11.189
_cell_length_b 6.421
_cell_length_c 6.470
_cell_angle_alpha 90.00
_cell_angle_beta 124.99
_cell_angle_gamma 90.00
_symmetry_space_group_name_H-M 'C 1 2/m 1'
_symmetry_Int_Tables_number 12
_symmetry_space_group_name_Hall '-C 2y'
loop_
_atom_site_label
_atom_site_fract_x
_atom_site_fract_y
_atom_site_fract_z
Ca1 0.000 0.000 0.000
Ca2 0.000 0.000 0.500
Mn1 0.000 0.500 0.000
Mn2 0.000 0.500 0.500
Mn3 0.250 0.250 0.000
Fe1 0.250 0.250 0.500
O1 0.006 0.259 0.755
O2 0.245 0.500 0.238
O3 0.246 0.500 0.718
# Crystal system   monoclinic
# Calculated total energy   -7.168 eV per atom